First-principles (PBEsol) data for crystalline GeTeP2S at its relaxed geometry, as listed in Alexandria via LeMat-Bulk.

Computed properties:
**E_tot**: -18.88 eV/cell
**Magnetization**: 0.00 μB per cell
**Space group**: P4/mmm (123)

Cell and atoms, written as POSCAR:
```
GeTeP2S
1.0
-3.607 -0.525 -3.280
2.320 -4.017 -1.909
-2.482 -2.956 3.203
P Ge Te S
2 1 1 1
Cartesian
1.160 -2.008 -0.954 P
-1.241 -1.478 1.602 P
-1.884 -3.749 -0.993 Ge
0.000 0.000 0.000 Te
-1.804 -0.263 -1.640 S
```



First-principles (PBEsol) data for crystalline YGeP2S at its relaxed geometry, as listed in Alexandria via LeMat-Bulk.

Computed properties:
**E_tot**: -25.15 eV/cell
**Magnetization**: 0.00 μB per cell
**Space group**: P4/mmm (123)

Cell and atoms, written as POSCAR:
```
YGeP2S
1.0
-0.136 -0.778 -4.970
-4.263 -2.847 0.562
-2.899 4.225 -0.583
S P Y Ge
1 2 1 1
Cartesian
-0.068 -0.389 -2.485 S
-1.449 2.113 -0.291 P
-2.132 -1.423 0.281 P
0.000 0.000 0.000 Y
-3.649 0.300 -2.495 Ge
```



First-principles (PBEsol) data for crystalline Zn2GeSbP at its relaxed geometry, as listed in Alexandria via LeMat-Bulk.

Computed properties:
**E_tot**: -13.68 eV/cell
**Magnetization**: 0.00 μB per cell
**Space group**: P4/mmm (123)

Cell and atoms, written as POSCAR:
```
Zn2GeSbP
1.0
4.921 0.000 0.000
0.000 4.921 0.000
0.000 0.000 5.261
Sb Zn P Ge
1 2 1 1
Cartesian
0.000 0.000 0.000 Sb
2.460 0.000 0.000 Zn
0.000 2.460 0.000 Zn
0.000 0.000 2.630 P
2.460 2.460 2.630 Ge
```



- magnetization of number 1 (GeTeP2S)?
  0.00 μB per cell